[1]
The following is a DFT calculation (GGA-PBE) of a relaxed Co2Ni2Bi crystal.

POSCAR file:
```
Co2Ni2Bi
1.0
6.823 0.000 0.000
0.000 6.823 0.000
0.000 0.000 3.054
Co Ni Bi
4 4 2
Direct
0.123 0.377 0.000
0.377 0.877 0.000
0.623 0.123 0.000
0.877 0.623 0.000
0.160 0.660 0.500
0.340 0.160 0.500
0.660 0.840 0.500
0.840 0.340 0.500
0.000 0.000 0.000
0.500 0.500 0.000
```

Size of the total moment = 8.22 Bohr magnetons per cell
Relative energy among the computed polymorphs = 0.26 eV per formula unit
Energy = -5.54 eV per atom
Energy relative to the elements = 0.3946 eV per atom

[2]
The following is a DFT calculation (GGA-PBE) of a relaxed CsAgOsBr6 crystal.

POSCAR file:
```
CsAgOsBr6
1.0
7.154 0.000 0.000
-3.577 6.195 0.000
0.000 0.000 7.941
Cs Ag Os Br
1 1 1 6
Direct
0.000 0.000 0.000
0.667 0.333 0.500
0.333 0.667 0.500
0.040 0.387 0.319
0.040 0.653 0.681
0.347 0.387 0.681
0.347 0.960 0.319
0.613 0.653 0.319
0.613 0.960 0.681
```

Size of the total moment = 2.00 Bohr magnetons per cell
Energy relative to the elements, uncorrected = -531 meV/atom
Energy = -3.31 eV per atom